(1)
DFT (PBE) results for a relaxed structure of LaNi9Ge4.

Calculated values
total energy	-159.05	eV for the cell shown
space group	I4/mcm, No. 140

Lattice parameters (Å, degrees): 8.1783 8.1783 8.1783 121.42 121.42 87.56
Last column: nearest neighbours and their distance in Å.
Atoms (fractional coordinates):
La: 0.2500 0.2500 0.0000  16 Ni 3.26-3.42, 8 Ge 3.33
La: 0.7500 0.7500 0.0000  16 Ni 3.26-3.42, 8 Ge 3.33
Ni: 0.0000 0.5000 0.5000  4 Ge 2.42, 8 Ni 2.43-2.57
Ni: 0.0561 0.5561 0.2488  4 Ge 2.38-2.52, 5 Ni 2.57-2.58
Ni: 0.0683 0.7961 0.8644  6 Ni 2.43-2.58, 4 Ge 2.54-2.60
Ni: 0.1927 0.9439 0.5000  4 Ge 2.38-2.52, 5 Ni 2.57-2.58
Ni: 0.2039 0.0683 0.2722  6 Ni 2.43-2.58, 4 Ge 2.54-2.60
Ni: 0.2961 0.5683 0.8644  6 Ni 2.43-2.58, 4 Ge 2.54-2.60
Ni: 0.3073 0.8073 0.7512  4 Ge 2.38-2.52, 5 Ni 2.57-2.58
Ni: 0.4317 0.2961 0.7278  6 Ni 2.43-2.58, 4 Ge 2.54-2.60
Ni: 0.4439 0.6927 0.5000  4 Ge 2.38-2.52, 5 Ni 2.57-2.58
Ni: 0.5000 0.0000 0.5000  4 Ge 2.42, 8 Ni 2.43-2.57
Ni: 0.5561 0.3073 0.5000  4 Ge 2.38-2.52, 5 Ni 2.57-2.58
Ni: 0.5683 0.7039 0.2722  6 Ni 2.43-2.58, 4 Ge 2.54-2.60
Ni: 0.6927 0.1927 0.2488  4 Ge 2.38-2.52, 5 Ni 2.57-2.58
Ni: 0.7039 0.4317 0.1356  6 Ni 2.43-2.58, 4 Ge 2.54-2.60
Ni: 0.7961 0.9317 0.7278  6 Ni 2.43-2.58, 4 Ge 2.54-2.60
Ni: 0.8073 0.0561 0.5000  4 Ge 2.38-2.52, 5 Ni 2.57-2.58
Ni: 0.9317 0.2039 0.1356  6 Ni 2.43-2.58, 4 Ge 2.54-2.60
Ni: 0.9439 0.4439 0.7512  4 Ge 2.38-2.52, 5 Ni 2.57-2.58
Ge: 0.0509 0.2060 0.5000  9 Ni 2.38-2.60
Ge: 0.2060 0.7060 0.1551  9 Ni 2.38-2.60
Ge: 0.2940 0.4491 0.5000  9 Ni 2.38-2.60
Ge: 0.4491 0.9491 0.1551  9 Ni 2.38-2.60
Ge: 0.5509 0.0509 0.8449  9 Ni 2.38-2.60
Ge: 0.7060 0.5509 0.5000  9 Ni 2.38-2.60
Ge: 0.7940 0.2940 0.8449  9 Ni 2.38-2.60
Ge: 0.9491 0.7940 0.5000  9 Ni 2.38-2.60

(2)
DFT (PBE) results for a relaxed structure of La2Ni2GeP.

Calculated values
total energy	-36.74	eV for the cell shown
space group	P-6m2, No. 187

Lattice parameters (Å, degrees): 4.1041 4.1041 8.3341 90.00 90.00 120.00
Last column: nearest neighbours and their distance in Å.
Atoms (fractional coordinates):
La: 0.0000 0.0000 0.2416  3 P 3.11, 6 Ni 3.11-3.20, 3 Ge 3.20
La: 0.0000 0.0000 0.7584  3 P 3.11, 6 Ni 3.11-3.20, 3 Ge 3.20
Ni: 0.3333 0.6667 0.5000  3 Ge 2.37
Ni: 0.6667 0.3333 0.0000  3 P 2.37
Ge: 0.6667 0.3333 0.5000  3 Ni 2.37
P: 0.3333 0.6667 0.0000  3 Ni 2.37

(3)
DFT (PBE) results for a relaxed structure of La2NiGe4Pd.

Calculated values
total energy	-45.56	eV for the cell shown
space group	Amm2, No. 38

Lattice parameters (Å, degrees): 4.3421 8.8650 8.8650 28.54 90.00 90.00
Last column: nearest neighbours and their distance in Å.
Atoms (fractional coordinates):
La: 0.0000 0.0000 0.0000  10 Ge 3.31-3.40, 4 Pd 3.32, 1 Ni 3.63
La: 0.5000 0.2152 0.2152  10 Ge 3.19-3.30, 4 Ni 3.33
Ni: 0.0000 0.7886 0.7886  5 Ge 2.36-2.44
Ge: 0.0000 0.3516 0.3516  2 Ni 2.44, 2 Pd 2.53
Ge: 0.0000 0.6514 0.6514  1 Ni 2.36, 2 Ge 2.57
Ge: 0.5000 0.5709 0.5709  1 Pd 2.47, 2 Ge 2.57
Ge: 0.5000 0.8517 0.8517  2 Ni 2.43, 2 Pd 2.54
Pd: 0.5000 0.4271 0.4271  5 Ge 2.47-2.54

(4)
DFT (PBE) results for a relaxed structure of LaSm2Ni2Ge4Pd2.

Calculated values
total energy	-63.41	eV for the cell shown
space group	Immm, No. 71

Lattice parameters (Å, degrees): 12.6426 12.6426 12.6426 161.29 160.30 27.30
Last column: nearest neighbours and their distance in Å.
Atoms (fractional coordinates):
La: 0.0000 0.0000 0.0000  4 Pd 3.22, 8 Ge 3.24
Sm: 0.3466 0.8466 0.5000  4 Ni 3.13-3.22, 6 Ge 3.22-3.24, 4 Pd 3.25
Sm: 0.6534 0.1534 0.5000  4 Ni 3.13-3.22, 6 Ge 3.22-3.24, 4 Pd 3.25
Ni: 0.2503 0.2503 0.0000  4 Ge 2.37-2.45
Ni: 0.7497 0.7497 0.0000  4 Ge 2.37-2.45
Ge: 0.2027 0.7027 0.5000  4 Ni 2.37-2.45, 1 Pd 2.50
Ge: 0.4485 0.4485 0.0000  2 Pd 2.48, 1 Ge 2.53
Ge: 0.5515 0.5515 0.0000  2 Pd 2.48, 1 Ge 2.53
Ge: 0.7973 0.2973 0.5000  4 Ni 2.37-2.45, 1 Pd 2.50
Pd: 0.1011 0.6011 0.5000  3 Ge 2.48-2.50
Pd: 0.8989 0.3989 0.5000  3 Ge 2.48-2.50

Which of these has the lowest total energy?
LaNi9Ge4